PuMnTl2F6 after structural relaxation. Source: Alexandria via LeMat-Bulk, functional PBE with a Hubbard U.

Values from the calculation:
Space-group type: Pmmn (59)
Energy: -124.86 eV for the cell shown

Geometry as POSCAR:
```
PuMnTl2F6
1.0
6.407 0.000 0.000
0.000 8.976 0.000
0.000 0.000 6.403
Pu Mn Tl F
2 2 4 12
Direct
0.250 0.250 0.217
0.750 0.750 0.783
0.250 0.750 0.269
0.750 0.250 0.731
0.250 0.005 0.738
0.250 0.495 0.738
0.750 0.505 0.262
0.750 0.995 0.262
0.006 0.250 0.511
0.025 0.750 0.017
0.250 0.509 0.280
0.250 0.991 0.280
0.475 0.750 0.017
0.494 0.250 0.511
0.506 0.750 0.489
0.525 0.250 0.983
0.750 0.009 0.720
0.750 0.491 0.720
0.975 0.250 0.983
0.994 0.750 0.489
```